Below is an optimized crystal structure of LiAlRu, with properties calculated at the PBE-GGA level.

Cell lengths 4.0718, 4.0718, 4.0718 Å; angles 60.00, 60.00, 60.00 degrees
Element x y z (fractional)
Al: 0.7500 0.7500 0.7500
Li: 0.0000 0.0000 0.0000
Ru: 0.5000 0.5000 0.5000

## Properties
Magnetization in μB per formula unit: 0.00
Uncorrected energy in eV per atom: -4.808
Energy relative to the elements in kJ/mol of atoms: 16